No. 1
This record from the Open Quantum Materials Database describes a geometry-optimized LuPaAl structure. The functional is GGA-PBE.

Energy relative to the lowest polymorph listed for this composition, meV/atom: 0.0

```
LuPaAl
1.0
0.000 3.441 3.441
3.441 0.000 3.441
3.441 3.441 0.000
Al Lu Pa
1 1 1
direct
0.000 0.000 0.000
0.250 0.250 0.250
0.750 0.750 0.750
```

=====

No. 2
This record from the Open Quantum Materials Database describes a geometry-optimized LuAl2Pb structure. The functional is GGA-PBE.

Uncorrected energy, eV/atom: -3.8485

```
LuAl2Pb
1.0
-4.485 1.213 2.084
-1.152 4.877 0.904
-3.558 2.336 -2.795
Al Lu Pb
2 1 1
direct
0.000 0.000 0.000
0.750 0.750 0.750
0.250 0.250 0.250
0.500 0.500 0.500
```

=====

No. 3
This record from the Open Quantum Materials Database describes a geometry-optimized LuAlPb2 structure. The functional is GGA-PBE.

Uncorrected energy, eV/atom: -3.8635

```
LuAlPb2
1.0
0.000 3.786 3.786
3.786 0.000 3.786
3.786 3.786 0.000
Al Lu Pb
1 1 2
direct
0.500 0.500 0.500
0.250 0.250 0.250
0.000 0.000 0.000
0.750 0.750 0.750
```

=====

No. 4
This record from the Open Quantum Materials Database describes a geometry-optimized LuAlPbSe3 structure. The functional is GGA-PBE.

Uncorrected energy, eV/atom: -4.6734

```
LuAlPbSe3
1.0
1.947 -7.432 0.000
1.947 7.432 0.000
0.000 0.000 11.022
Al Lu Pb Se
2 2 2 6
direct
0.374 0.626 0.250
0.626 0.374 0.750
0.000 0.000 0.000
0.000 0.000 0.500
0.710 0.290 0.250
0.290 0.710 0.750
0.365 0.635 0.007
0.987 0.013 0.250
0.365 0.635 0.493
0.635 0.365 0.507
0.013 0.987 0.750
0.635 0.365 0.993
```

=====

No. 5
This record from the Open Quantum Materials Database describes a geometry-optimized LuAlPd structure. The functional is GGA-PBE.

Uncorrected energy, eV/atom: -5.3724

```
LuAlPd
1.0
6.947 0.000 0.000
-3.474 6.017 0.000
0.000 0.000 4.084
Al Lu Pd
3 3 3
direct
0.239 0.000 0.000
0.000 0.239 0.000
0.761 0.761 0.000
0.584 0.000 0.500
0.416 0.416 0.500
0.000 0.584 0.500
0.667 0.333 0.000
0.333 0.667 0.000
0.000 0.000 0.500
```

=====

No. 6
This record from the Open Quantum Materials Database describes a geometry-optimized LuAlPd2 structure. The functional is GGA-PBE.

Uncorrected energy, eV/atom: -5.2537

```
LuAlPd2
1.0
0.967 -0.345 4.513
-0.033 3.781 2.669
-3.352 0.589 3.136
Al Lu Pd
1 1 2
direct
0.500 0.500 0.500
0.250 0.250 0.250
0.000 0.000 0.000
0.750 0.750 0.750
```

=====

No. 7
This record from the Open Quantum Materials Database describes a geometry-optimized LuAlPd structure. The functional is GGA-PBE.

Uncorrected energy, eV/atom: -5.2277

```
LuAlPd
1.0
6.994 0.000 0.000
-3.497 6.057 0.000
0.000 0.000 4.005
Al Lu Pd
3 3 3
direct
0.667 0.333 0.000
0.333 0.667 0.000
0.000 0.000 0.500
0.578 0.000 0.500
0.422 0.422 0.500
0.000 0.578 0.500
0.247 0.000 0.000
0.000 0.247 0.000
0.753 0.753 0.000
```

=====

No. 8
This record from the Open Quantum Materials Database describes a geometry-optimized Lu10Al3Pd structure. The functional is GGA-PBE.

Uncorrected energy, eV/atom: -4.7547

```
Lu10Al3Pd
1.0
9.370 0.000 0.000
-4.685 8.115 0.000
0.000 0.000 9.367
Al Lu Pd
6 20 2
direct
0.225 0.113 0.250
0.887 0.113 0.250
0.887 0.775 0.250
0.113 0.225 0.750
0.113 0.887 0.750
0.775 0.887 0.750
0.000 0.000 0.000
0.205 0.411 0.055
0.205 0.795 0.055
0.589 0.795 0.055
0.543 0.085 0.250
0.543 0.457 0.250
0.915 0.457 0.250
0.205 0.411 0.445
0.205 0.795 0.445
0.589 0.795 0.445
0.000 0.000 0.500
0.411 0.205 0.555
0.795 0.205 0.555
0.795 0.589 0.555
0.085 0.543 0.750
0.457 0.543 0.750
0.457 0.915 0.750
0.411 0.205 0.945
0.795 0.205 0.945
0.795 0.589 0.945
0.333 0.667 0.250
0.667 0.333 0.750
```

=====

No. 9
This record from the Open Quantum Materials Database describes a geometry-optimized LuAlPd structure. The functional is GGA-PBE.

Uncorrected energy, eV/atom: -4.9152

```
LuAlPd
1.0
7.947 0.000 0.000
-3.974 6.883 0.000
0.000 0.000 3.082
Al Lu Pd
3 3 3
direct
0.667 0.333 0.000
0.333 0.667 0.000
0.000 0.000 0.500
0.294 0.000 0.000
0.000 0.294 0.000
0.706 0.706 0.000
0.620 0.000 0.500
0.380 0.380 0.500
0.000 0.620 0.500
```

=====

No. 10
This record from the Open Quantum Materials Database describes a geometry-optimized Lu10Al3Pt structure. The functional is GGA-PBE.

Uncorrected energy, eV/atom: -4.8926

```
Lu10Al3Pt
1.0
9.366 0.000 0.000
-4.683 8.111 0.000
0.000 0.000 9.391
Al Lu Pt
6 20 2
direct
0.224 0.112 0.250
0.888 0.112 0.250
0.888 0.776 0.250
0.112 0.224 0.750
0.112 0.888 0.750
0.776 0.888 0.750
0.000 0.000 0.000
0.206 0.412 0.056
0.206 0.794 0.056
0.588 0.794 0.056
0.542 0.084 0.250
0.542 0.458 0.250
0.916 0.458 0.250
0.206 0.412 0.444
0.206 0.794 0.444
0.588 0.794 0.444
0.000 0.000 0.500
0.412 0.206 0.556
0.794 0.206 0.556
0.794 0.588 0.556
0.084 0.542 0.750
0.458 0.542 0.750
0.458 0.916 0.750
0.412 0.206 0.944
0.794 0.206 0.944
0.794 0.588 0.944
0.333 0.667 0.250
0.667 0.333 0.750
```

=====

No. 11
This record from the Open Quantum Materials Database describes a geometry-optimized LuAlPt2 structure. The functional is GGA-PBE.

Uncorrected energy, eV/atom: -5.8158

```
LuAlPt2
1.0
1.736 -2.760 3.294
-2.290 -3.828 1.261
1.673 -4.175 -1.119
Al Lu Pt
1 1 2
direct
0.500 0.500 0.500
0.250 0.250 0.250
0.000 0.000 0.000
0.750 0.750 0.750
```

=====

No. 12
This record from the Open Quantum Materials Database describes a geometry-optimized LuPuAl structure. The functional is GGA-PBE.

Energy relative to the lowest polymorph listed for this composition, meV/atom: 0.0

```
LuPuAl
1.0
0.000 3.492 3.492
3.492 0.000 3.492
3.492 3.492 0.000
Al Lu Pu
1 1 1
direct
0.250 0.250 0.250
0.750 0.750 0.750
0.000 0.000 0.000
```

=====

No. 13
This record from the Open Quantum Materials Database describes a geometry-optimized RbLuAl structure. The functional is GGA-PBE.

Energy relative to the lowest polymorph listed for this composition, meV/atom: 0.0

```
RbLuAl
1.0
1.323 0.694 5.242
-2.445 -2.988 3.847
2.797 -3.862 2.639
Al Lu Rb
1 1 1
direct
0.000 0.000 0.000
0.250 0.250 0.250
0.750 0.750 0.750
```

=====

No. 14
This record from the Open Quantum Materials Database describes a geometry-optimized RbLuAl structure. The functional is GGA-PBE.

Energy relative to the lowest polymorph listed for this composition, meV/atom: 524.0

```
RbLuAl
1.0
1.174 -3.752 -3.663
-0.746 -5.197 1.143
-3.951 -2.739 -2.401
Al Lu Rb
1 1 1
direct
0.250 0.250 0.250
0.750 0.750 0.750
0.000 0.000 0.000
```

=====

No. 15
This record from the Open Quantum Materials Database describes a geometry-optimized RbLuAlTe3 structure. The functional is GGA-PBE.

Uncorrected energy, eV/atom: -4.0041

```
RbLuAlTe3
1.0
-7.896 1.887 -1.543
6.682 -4.165 -2.508
-3.355 -9.054 6.097
Al Lu Rb Te
2 2 2 6
direct
0.482 0.518 0.250
0.518 0.482 0.750
0.000 0.000 0.000
0.000 0.000 0.500
0.749 0.251 0.250
0.251 0.749 0.750
0.380 0.620 0.060
0.065 0.935 0.250
0.380 0.620 0.440
0.620 0.380 0.560
0.935 0.065 0.750
0.620 0.380 0.940
```

=====

No. 16
This record from the Open Quantum Materials Database describes a geometry-optimized LuAlRe structure. The functional is GGA-PBE.

Energy relative to the lowest polymorph listed for this composition, meV/atom: 0.0

```
LuAlRe
1.0
0.000 3.177 3.177
3.177 0.000 3.177
3.177 3.177 0.000
Al Lu Re
1 1 1
direct
0.250 0.250 0.250
0.750 0.750 0.750
0.000 0.000 0.000
```

=====

No. 17
This record from the Open Quantum Materials Database describes a geometry-optimized LuAl2Re structure. The functional is GGA-PBE.

Uncorrected energy, eV/atom: -6.0930

```
LuAl2Re
1.0
-3.238 -3.268 -0.110
-4.019 0.670 2.141
-3.837 0.644 -2.458
Al Lu Re
2 1 1
direct
0.000 0.000 0.000
0.750 0.750 0.750
0.250 0.250 0.250
0.500 0.500 0.500
```

=====

No. 18
This record from the Open Quantum Materials Database describes a geometry-optimized LuAl8Re4 structure. The functional is GGA-PBE.

Uncorrected energy, eV/atom: -6.8246

```
LuAl8Re4
1.0
-4.511 4.511 2.597
4.511 -4.511 2.597
4.511 4.511 -2.597
Al Lu Re
8 1 4
direct
0.712 0.500 0.212
0.500 0.712 0.212
0.345 0.000 0.345
0.000 0.345 0.345
0.655 0.000 0.655
0.000 0.655 0.655
0.500 0.288 0.788
0.288 0.500 0.788
0.000 0.000 0.000
0.500 0.000 0.000
0.000 0.500 0.000
0.000 0.000 0.500
0.500 0.500 0.500
```

=====

No. 19
This record from the Open Quantum Materials Database describes a geometry-optimized Lu2AlRe structure. The functional is GGA-PBE.

Uncorrected energy, eV/atom: -6.2398

```
Lu2AlRe
1.0
0.000 3.386 3.386
3.386 0.000 3.386
3.386 3.386 0.000
Al Lu Re
1 2 1
direct
0.500 0.500 0.500
0.000 0.000 0.000
0.750 0.750 0.750
0.250 0.250 0.250
```

=====

No. 20
This record from the Open Quantum Materials Database describes a geometry-optimized Lu2AlRe3 structure. The functional is GGA-PBE.

Uncorrected energy, eV/atom: -8.7142

```
Lu2AlRe3
1.0
-2.328 -3.613 3.124
4.514 2.338 1.549
-4.685 6.430 3.947
Al Lu Re
2 4 6
direct
0.000 0.000 0.000
0.000 0.000 0.500
0.333 0.667 0.067
0.333 0.667 0.433
0.667 0.333 0.567
0.667 0.333 0.933
0.342 0.171 0.250
0.829 0.171 0.250
0.829 0.658 0.250
0.171 0.342 0.750
0.171 0.829 0.750
0.658 0.829 0.750
```

=====

No. 21
This record from the Open Quantum Materials Database describes a geometry-optimized LuAlRe structure. The functional is GGA-PBE.

Energy relative to the lowest polymorph listed for this composition, meV/atom: 802.4

```
LuAlRe
1.0
0.000 3.249 3.249
3.249 0.000 3.249
3.249 3.249 0.000
Al Lu Re
1 1 1
direct
0.250 0.250 0.250
0.000 0.000 0.000
0.750 0.750 0.750
```

=====

No. 22
This record from the Open Quantum Materials Database describes a geometry-optimized Lu2ScAl structure. The functional is GGA-PBE.

Uncorrected energy, eV/atom: -4.8521

```
Lu2ScAl
1.0
0.000 3.632 3.632
3.632 0.000 3.632
3.632 3.632 0.000
Al Lu Sc
1 2 1
direct
0.500 0.500 0.500
0.000 0.000 0.000
0.750 0.750 0.750
0.250 0.250 0.250
```

=====

No. 23
This record from the Open Quantum Materials Database describes a geometry-optimized LuSc2Al structure. The functional is GGA-PBE.

Uncorrected energy, eV/atom: -5.3467

```
LuSc2Al
1.0
2.296 -4.454 -0.606
-2.731 -4.240 -0.198
-0.460 -2.504 -4.358
Al Lu Sc
1 1 2
direct
0.500 0.500 0.500
0.250 0.250 0.250
0.000 0.000 0.000
0.750 0.750 0.750
```

=====

No. 24
This record from the Open Quantum Materials Database describes a geometry-optimized LuAlSi structure. The functional is GGA-PBE.

Uncorrected energy, eV/atom: -4.4315

```
LuAlSi
1.0
0.000 3.288 3.288
3.288 0.000 3.288
3.288 3.288 0.000
Al Lu Si
1 1 1
direct
0.250 0.250 0.250
0.000 0.000 0.000
0.750 0.750 0.750
```

=====

No. 25
This record from the Open Quantum Materials Database describes a geometry-optimized LuAlSi structure. The functional is GGA-PBE.

Uncorrected energy, eV/atom: -4.7171

```
LuAlSi
1.0
0.000 3.149 3.149
3.149 0.000 3.149
3.149 3.149 0.000
Al Lu Si
1 1 1
direct
0.250 0.250 0.250
0.750 0.750 0.750
0.000 0.000 0.000
```